# 1
Density functional theory data (SCAN) for a crystal of MnPtW2 relaxed with PBEsol.

Cell: 3.182 3.182 5.770 Å, 90.00 90.00 90.00°
Last column: magnetic moment on the atom in μB.
Fractional coordinates of all 4 atoms:
Mn (0.000, 0.000, 0.492)  3.26
Pt (0.500, 0.500, 0.740)  0.13
W (0.000, 0.000, 0.002)  0.19
W (0.500, 0.500, 0.266)  -0.39

* offset from the most stable computed form: 0.067 eV per atom
* volume: 58.4 Å³ per cell
* ΔE_f: -0.36 eV/f.u.
* crystal system: tetragonal
* energy: -57.04 eV/atom


# 2
Density functional theory data (SCAN) for a crystal of Mn2PtW relaxed with PBEsol.

Cell: 4.248 4.248 4.248 Å, 60.00 60.00 60.00°
Last column: magnetic moment on the atom in μB.
Fractional coordinates of all 4 atoms:
Mn (0.750, 0.750, 0.750)  3.35
Mn (0.250, 0.250, 0.250)  3.35
Pt (0.000, 0.000, 0.000)  0.32
W (0.500, 0.500, 0.500)  -1.01

* offset from the most stable computed form: 0.000 eV per atom
* volume: 54.2 Å³ per cell
* ΔE_f: -1.49 eV/f.u.
* crystal system: cubic
* energy: -44.47 eV/atom


# 3
Density functional theory data (SCAN) for a crystal of MnPt3W relaxed with PBEsol.

Cell: 4.455 4.455 4.455 Å, 90.00 90.00 90.00°
Last column: magnetic moment on the atom in μB.
Fractional coordinates of all 5 atoms:
Mn (0.000, 0.000, 0.000)  3.31
Pt (0.000, 0.000, 0.500)  0.23
Pt (0.500, 0.000, 0.000)  0.23
W (0.500, 0.500, 0.500)  2.21
Pt (0.000, 0.500, 0.000)  0.23

* volume: 88.4 Å³ per cell
* ΔE_f: 6.92 eV/f.u.
* crystal system: cubic
* energy: -58.32 eV/atom


# 4
Density functional theory data (SCAN) for a crystal of MnPtW2 relaxed with PBEsol.

Cell: 3.808 3.808 4.761 Å, 113.58 113.58 90.00°
Last column: magnetic moment on the atom in μB.
Fractional coordinates of all 4 atoms:
W (0.750, 0.250, 0.500)  -0.25
Pt (0.000, 0.000, 0.000)  -0.08
W (0.250, 0.750, 0.500)  -0.25
Mn (0.500, 0.500, 0.000)  1.96

* offset from the most stable computed form: 0.006 eV per atom
* volume: 56.9 Å³ per cell
* ΔE_f: -0.60 eV/f.u.
* crystal system: tetragonal
* energy: -57.11 eV/atom


# 5
Density functional theory data (SCAN) for a crystal of YMn2Pt relaxed with PBEsol.

Cell: 3.269 3.269 6.509 Å, 90.00 90.00 90.00°
Last column: magnetic moment on the atom in μB.
Fractional coordinates of all 4 atoms:
Pt (0.500, 0.500, 0.000)  0.34
Mn (0.000, 0.000, 0.203)  3.98
Y (0.500, 0.500, 0.500)  -0.34
Mn (0.000, 0.000, 0.797)  3.98

* offset from the most stable computed form: 0.132 eV per atom
* volume: 69.6 Å³ per cell
* ΔE_f: -1.63 eV/f.u.
* crystal system: tetragonal
* energy: -34.04 eV/atom


# 6
Density functional theory data (SCAN) for a crystal of YMn2Pt relaxed with PBEsol.

Cell: 2.970 2.970 9.297 Å, 80.81 80.81 60.00°
Last column: magnetic moment on the atom in μB.
Fractional coordinates of all 4 atoms:
Pt (0.500, 0.500, 0.500)  0.35
Mn (0.241, 0.241, 0.278)  4.00
Y (0.000, 0.000, 0.000)  -0.37
Mn (0.759, 0.759, 0.722)  4.00

* offset from the most stable computed form: 0.550 eV per atom
* volume: 69.8 Å³ per cell
* ΔE_f: 0.04 eV/f.u.
* crystal system: trigonal
* energy: -33.63 eV/atom